First-principles (PBE) data for a relaxed structure of ScTcBr2, as listed in Alexandria.

Cell and atoms, written as POSCAR:
```
ScTcBr2
1.0
4.324 0.000 0.000
0.000 3.933 -0.049
0.000 -0.006 5.049
Sc Br Tc
1 2 1
direct
0.500 0.750 0.250
0.000 0.478 0.514
0.000 0.022 0.986
0.500 0.250 0.750
```

**Formation energy (no corrections)**: 0.087 eV/atom

First-principles (PBE) data for a relaxed structure of Sc2TcBr, as listed in Alexandria.

Cell and atoms, written as POSCAR:
```
Sc2TcBr
1.0
-0.899 -0.646 -3.116
3.247 0.090 -0.956
0.477 -7.582 1.434
Sc Tc Br
2 1 1
direct
0.000 0.769 0.055
0.000 0.731 0.445
0.500 0.250 0.250
0.500 0.750 0.750
```

**Formation energy (no corrections)**: -0.625 eV/atom

First-principles (PBE) data for a relaxed structure of Sc2TcBr, as listed in Alexandria.

Cell and atoms, written as POSCAR:
```
Sc2TcBr
1.0
4.549 0.000 0.000
0.000 3.354 0.011
0.000 1.595 5.032
Sc Br Tc
2 1 1
direct
0.500 0.259 0.344
0.000 0.991 0.928
0.500 0.545 0.798
0.000 0.705 0.430
```

**Formation energy (no corrections)**: -0.336 eV/atom